Density functional theory data (PBE) for PaAlNiPd after structural relaxation.

a = 4.6516 Å, b = 4.6516 Å, c = 4.6516 Å
α = 60.00°, β = 60.00°, γ = 60.00°
Closest atoms and distances in Å follow each position.
Positions (direct):
Pa: 0.0000 0.0000 0.0000  4 Ni 2.85, 4 Pd 2.85
Al: 0.5000 0.5000 0.5000  4 Ni 2.85, 4 Pd 2.85
Ni: 0.7500 0.7500 0.7500  4 Al 2.85, 4 Pa 2.85
Pd: 0.2500 0.2500 0.2500  4 Pa 2.85, 4 Al 2.85

For the energy of formation, the calculation gives -0.47 eV per atom. As for the space group: F-43m, No. 216.


Density functional theory data (PBE) for Li4I2Br after structural relaxation.

a = 8.3965 Å, b = 8.3965 Å, c = 8.3965 Å
α = 144.51°, β = 144.51°, γ = 51.06°
Closest atoms and distances in Å follow each position.
Positions (direct):
Li: 0.0000 0.5000 0.5000  2 Br 2.56
Li: 0.1837 0.1837 0.0000  1 Br 2.78, 1 I 2.80
Li: 0.5000 0.0000 0.5000  2 Br 2.56
Li: 0.8163 0.8163 0.0000  1 Br 2.78, 1 I 2.80
I: 0.3683 0.3683 0.0000  1 Li 2.80
I: 0.6317 0.6317 0.0000  1 Li 2.80
Br: 0.0000 0.0000 0.0000  6 Li 2.56-2.78

As for the space group: I4/mmm, No. 139. The formation energy from raw total energies comes out at -6.05 eV/f.u.


Density functional theory data (PBE) for Ho2RhI2 after structural relaxation.

a = 4.0899 Å, b = 4.0899 Å, c = 12.0009 Å
α = 100.86°, β = 100.86°, γ = 59.96°
Closest atoms and distances in Å follow each position.
Positions (direct):
Ho: 0.2141 0.2141 0.1285  3 Rh 2.80
Ho: 0.7859 0.7859 0.8715  3 Rh 2.80
Rh: 0.5000 0.5000 0.0000  6 Ho 2.80
I: 0.0523 0.0523 0.6904  3 Ho 3.17
I: 0.9477 0.9477 0.3096  3 Ho 3.17

As for the space group: C2/m, No. 12. The formation energy from raw total energies comes out at -5.35 eV/f.u.


Density functional theory data (PBE) for YFeP2Ru after structural relaxation.

a = 5.5459 Å, b = 5.5459 Å, c = 5.5459 Å
α = 138.32°, β = 138.32°, γ = 60.42°
Closest atoms and distances in Å follow each position.
Positions (direct):
Y: 0.0000 0.0000 0.0000  8 P 3.05, 4 Fe 3.10, 4 Ru 3.10
Fe: 0.7500 0.2500 0.5000  4 P 2.29
P: 0.3720 0.3720 0.0000  2 Fe 2.29, 2 Ru 2.29, 1 P 2.45
P: 0.6280 0.6280 0.0000  2 Fe 2.29, 2 Ru 2.29, 1 P 2.45
Ru: 0.2500 0.7500 0.5000  4 P 2.29

For the energy of formation, the calculation gives -0.98 eV per atom. As for the space group: I-4m2, No. 119.


Repeat the first record exactly.
Density functional theory data (PBE) for PaAlNiPd after structural relaxation.

a = 4.6516 Å, b = 4.6516 Å, c = 4.6516 Å
α = 60.00°, β = 60.00°, γ = 60.00°
Closest atoms and distances in Å follow each position.
Positions (direct):
Pa: 0.0000 0.0000 0.0000  4 Ni 2.85, 4 Pd 2.85
Al: 0.5000 0.5000 0.5000  4 Ni 2.85, 4 Pd 2.85
Ni: 0.7500 0.7500 0.7500  4 Al 2.85, 4 Pa 2.85
Pd: 0.2500 0.2500 0.2500  4 Pa 2.85, 4 Al 2.85

For the energy of formation, the calculation gives -0.47 eV per atom. As for the space group: F-43m, No. 216.